Material: RbCd5Pb7
Method: DFT, GGA-PBE
State: relaxed

a b c (Å): 6.066 8.585 8.585
angles (deg): 80.89 69.31 69.31
Sites, in units of the cell vectors:
Rb: 0.001 0.999 0.999
Cd: 0.500 0.992 0.511
Cd: 0.998 0.992 0.511
Cd: 0.500 0.511 0.992
Cd: 0.998 0.511 0.992
Cd: 0.719 0.781 0.781
Pb: 0.649 0.351 0.351
Pb: 0.357 0.643 0.643
Pb: 0.000 0.352 0.649
Pb: 0.000 0.649 0.352
Pb: 0.277 0.223 0.223
Pb: 0.501 0.790 0.208
Pb: 0.501 0.208 0.790

Values from the calculation:
The calculation puts the total moment at 0.0 μB/f.u. As for the final energy: -2.438 eV/atom.